Computed, not measured: SnCN2O after structural relaxation at the PBE level of DFT.

Summary:
The volume comes out at 72.4 Å³ per cell. The value obtained for the uncorrected formation energy is 2315 meV per atom. The calculation puts the total energy at -4.653 eV/atom.

```
data_SnCN2O
_chemical_formula_sum 'Sn1 C1 N2 O1'
_symmetry_space_group_name_H-M 'P 4/m m m'
_symmetry_Int_Tables_number 123
_symmetry_space_group_name_Hall '-P 4 2'
_cell_length_a 4.2377
_cell_length_b 4.2377
_cell_length_c 4.0305
_cell_angle_alpha 90.00
_cell_angle_beta 90.00
_cell_angle_gamma 90.00
loop_
_atom_site_label
_atom_site_type_symbol
_atom_site_fract_x
_atom_site_fract_y
_atom_site_fract_z
_atom_site_occupancy
Sn1 Sn 0.0000 0.0000 0.0000 1
C1 C 0.5000 0.5000 0.5000 1
N1 N 0.0000 0.5000 0.0000 1
O1 O 0.0000 0.0000 0.5000 1
```


Computed, not measured: SrCNO2 after structural relaxation at the PBE level of DFT.

Summary:
The volume comes out at 53.3 Å³ per cell. The value obtained for the uncorrected formation energy is 21 meV per atom. The calculation puts the total energy at -5.808 eV/atom.

```
data_SrCNO2
_chemical_formula_sum 'Sr1 C1 N1 O2'
_symmetry_space_group_name_H-M 'P 4/m m m'
_symmetry_Int_Tables_number 123
_symmetry_space_group_name_Hall '-P 4 2'
_cell_length_a 4.5287
_cell_length_b 4.5287
_cell_length_c 2.6000
_cell_angle_alpha 90.00
_cell_angle_beta 90.00
_cell_angle_gamma 90.00
loop_
_atom_site_label
_atom_site_type_symbol
_atom_site_fract_x
_atom_site_fract_y
_atom_site_fract_z
_atom_site_occupancy
Sr1 Sr 0.0000 0.0000 0.0000 1
C1 C 0.5000 0.5000 0.5000 1
N1 N 0.5000 0.5000 0.0000 1
O1 O 0.0000 0.5000 0.5000 1
```


Computed, not measured: TaCNO2 after structural relaxation at the PBE level of DFT.

Summary:
The volume comes out at 40.6 Å³ per cell. The value obtained for the uncorrected formation energy is 555 meV per atom. The calculation puts the total energy at -7.309 eV/atom.

```
data_TaCNO2
_chemical_formula_sum 'Ta1 C1 N1 O2'
_symmetry_space_group_name_H-M 'P 4/m m m'
_symmetry_Int_Tables_number 123
_symmetry_space_group_name_Hall '-P 4 2'
_cell_length_a 3.3965
_cell_length_b 3.3965
_cell_length_c 3.5162
_cell_angle_alpha 90.00
_cell_angle_beta 90.00
_cell_angle_gamma 90.00
loop_
_atom_site_label
_atom_site_type_symbol
_atom_site_fract_x
_atom_site_fract_y
_atom_site_fract_z
_atom_site_occupancy
Ta1 Ta 0.0000 0.0000 0.0000 1
C1 C 0.5000 0.5000 0.5000 1
N1 N 0.5000 0.5000 0.0000 1
O1 O 0.0000 0.5000 0.5000 1
```


Computed, not measured: TaCN2O after structural relaxation at the PBE level of DFT.

Summary:
The volume comes out at 39.4 Å³ per cell. The value obtained for the uncorrected formation energy is 912 meV per atom. The calculation puts the total energy at -7.625 eV/atom.

```
data_TaCN2O
_chemical_formula_sum 'Ta1 C1 N2 O1'
_symmetry_space_group_name_H-M 'P 4/m m m'
_symmetry_Int_Tables_number 123
_symmetry_space_group_name_Hall '-P 4 2'
_cell_length_a 3.4585
_cell_length_b 3.4585
_cell_length_c 3.2945
_cell_angle_alpha 90.00
_cell_angle_beta 90.00
_cell_angle_gamma 90.00
loop_
_atom_site_label
_atom_site_type_symbol
_atom_site_fract_x
_atom_site_fract_y
_atom_site_fract_z
_atom_site_occupancy
Ta1 Ta 0.0000 0.0000 0.0000 1
C1 C 0.5000 0.5000 0.5000 1
N1 N 0.0000 0.5000 0.5000 1
O1 O 0.5000 0.5000 0.0000 1
```


Computed, not measured: TaCN2O after structural relaxation at the PBE level of DFT.

Summary:
The volume comes out at 65.2 Å³ per cell. The value obtained for the uncorrected formation energy is 1214 meV per atom. The calculation puts the total energy at -7.323 eV/atom.

```
data_TaCN2O
_chemical_formula_sum 'Ta1 C1 N2 O1'
_symmetry_space_group_name_H-M 'P 4/m m m'
_symmetry_Int_Tables_number 123
_symmetry_space_group_name_Hall '-P 4 2'
_cell_length_a 4.1099
_cell_length_b 4.1099
_cell_length_c 3.8601
_cell_angle_alpha 90.00
_cell_angle_beta 90.00
_cell_angle_gamma 90.00
loop_
_atom_site_label
_atom_site_type_symbol
_atom_site_fract_x
_atom_site_fract_y
_atom_site_fract_z
_atom_site_occupancy
Ta1 Ta 0.0000 0.0000 0.0000 1
C1 C 0.5000 0.5000 0.5000 1
N1 N 0.0000 0.5000 0.0000 1
O1 O 0.0000 0.0000 0.5000 1
```


Computed, not measured: TaCNO2 after structural relaxation at the PBE level of DFT.

Summary:
The volume comes out at 63.7 Å³ per cell. The value obtained for the uncorrected formation energy is 347 meV per atom. The calculation puts the total energy at -7.517 eV/atom.

```
data_TaCNO2
_chemical_formula_sum 'Ta1 C1 N1 O2'
_symmetry_space_group_name_H-M 'P 4/m m m'
_symmetry_Int_Tables_number 123
_symmetry_space_group_name_Hall '-P 4 2'
_cell_length_a 3.8771
_cell_length_b 3.8771
_cell_length_c 4.2355
_cell_angle_alpha 90.00
_cell_angle_beta 90.00
_cell_angle_gamma 90.00
loop_
_atom_site_label
_atom_site_type_symbol
_atom_site_fract_x
_atom_site_fract_y
_atom_site_fract_z
_atom_site_occupancy
Ta1 Ta 0.0000 0.0000 0.0000 1
C1 C 0.5000 0.5000 0.5000 1
N1 N 0.0000 0.0000 0.5000 1
O1 O 0.0000 0.5000 0.0000 1
```


Computed, not measured: Tb4C2NO after structural relaxation at the PBE level of DFT.

Summary:
The volume comes out at 251.5 Å³ per cell. The value obtained for the uncorrected formation energy is -1258 meV per atom. The calculation puts the total energy at -7.540 eV/atom.

```
data_Tb4C2NO
_chemical_formula_sum 'Tb8 C4 N2 O2'
_symmetry_space_group_name_H-M 'I -4 m 2'
_symmetry_Int_Tables_number 119
_symmetry_space_group_name_Hall 'I -4 -2'
_cell_length_a 4.9951
_cell_length_b 4.9951
_cell_length_c 10.0790
_cell_angle_alpha 90.00
_cell_angle_beta 90.00
_cell_angle_gamma 90.00
loop_
_atom_site_label
_atom_site_type_symbol
_atom_site_fract_x
_atom_site_fract_y
_atom_site_fract_z
_atom_site_occupancy
Tb1 Tb 0.0000 0.0000 0.2446 1
Tb2 Tb 0.0000 0.5000 0.0015 1
C1 C 0.0000 0.0000 0.5000 1
C2 C 0.0000 0.5000 0.7500 1
N1 N 0.0000 0.0000 0.0000 1
O1 O 0.0000 0.5000 0.2500 1
```


Computed, not measured: Tb6C2NO2 after structural relaxation at the PBE level of DFT.

Summary:
The volume comes out at 377.4 Å³ per cell. The value obtained for the uncorrected formation energy is -1554 meV per atom. The calculation puts the total energy at -7.415 eV/atom.

```
data_Tb6C2NO2
_chemical_formula_sum 'Tb12 C4 N2 O4'
_symmetry_space_group_name_H-M 'C 1 2/m 1'
_symmetry_Int_Tables_number 12
_cell_length_a 6.1643
_cell_length_b 10.6317
_cell_length_c 6.1226
_cell_angle_alpha 90.00
_cell_angle_beta 109.84
_cell_angle_gamma 90.00
loop_
_symmetry_equiv_pos_as_xyz
'x,y,z'
'-x,-y,-z'
'-x,y,-z'
'x,-y,z'
'x+1/2,y+1/2,z'
'-x+1/2,-y+1/2,-z'
'-x+1/2,y+1/2,-z'
'x+1/2,-y+1/2,z'
loop_
_atom_site_label
_atom_site_type_symbol
_atom_site_fract_x
_atom_site_fract_y
_atom_site_fract_z
_atom_site_occupancy
Tb1 Tb 0.2401 0.0000 0.2677 1
Tb2 Tb 0.2422 0.1719 0.7425 1
C1 C 0.0000 0.3320 0.5000 1
N1 N 0.0000 0.0000 0.5000 1
O1 O 0.0000 0.1679 0.0000 1
```


> What is the formula in the second record?

SrCNO2